Entry from the Alexandria database: crystalline BaHfBi2 at its relaxed geometry (PBE).

Geometry as extended XYZ:
```
4
Lattice="4.0574 0.0000 0.0000 2.0287 3.5138 0.0000 2.0287 1.1713 10.7942" Properties=species:S:1:pos:R:3 pbc="T T T"
Hf 4.0574 2.3425 5.3971
Bi 2.0287 1.1713 7.3065
Bi 6.0861 3.5138 3.4877
Ba 0.0000 0.0000 0.0000
```

Computed properties:
The energy above the most stable polymorph in this dataset comes out at 474 meV/atom. The calculation puts the energy relative to the elements at 0.00 eV/atom. The space group is No. 166.